No. 1
Entry from OQMD via LeMat-Bulk: a relaxed DyYB2P2Ir2 crystal (PBE-GGA).

POSCAR file:
```
DyYB2P2Ir2
1.0
3.936 0.000 0.000
0.000 3.936 0.000
0.000 0.000 8.341
Y Ir Dy P B
1 2 1 2 2
Direct
0.000 0.000 0.806
0.000 0.500 0.500
0.500 0.000 0.500
0.500 0.500 0.195
0.000 0.000 0.147
0.500 0.500 0.853
0.500 0.500 0.614
0.000 0.000 0.386
```

Magnetic moment   0.0 μB/f.u.
Electronic total energy   -7.57 eV per atom
SG   P4mm, No. 99

No. 2
Entry from OQMD via LeMat-Bulk: a relaxed KLi2DyB2O6 crystal (PBE-GGA).

POSCAR file:
```
KLi2DyB2O6
1.0
-2.132 6.297 0.015
-4.030 -1.344 -8.288
-5.871 -6.934 3.979
B O K Li Dy
8 24 4 8 4
Direct
0.586 0.129 0.216
0.115 0.141 0.263
0.885 0.859 0.737
0.885 0.641 0.237
0.414 0.629 0.284
0.414 0.871 0.784
0.115 0.359 0.763
0.586 0.371 0.716
0.506 0.497 0.350
0.260 0.036 0.360
0.715 0.150 0.372
0.550 0.248 0.124
0.003 0.394 0.607
0.450 0.752 0.876
0.494 0.503 0.650
0.904 0.774 0.183
0.506 0.003 0.850
0.450 0.748 0.376
0.003 0.106 0.107
0.715 0.350 0.872
0.285 0.650 0.128
0.494 0.997 0.150
0.285 0.850 0.628
0.740 0.964 0.640
0.096 0.274 0.317
0.260 0.464 0.860
0.096 0.226 0.817
0.550 0.252 0.624
0.997 0.894 0.893
0.997 0.606 0.393
0.740 0.536 0.140
0.904 0.726 0.683
0.161 0.375 0.087
0.161 0.125 0.587
0.839 0.875 0.413
0.839 0.625 0.913
0.367 0.115 0.951
0.633 0.885 0.049
0.574 0.384 0.993
0.633 0.615 0.549
0.426 0.884 0.507
0.426 0.616 0.007
0.574 0.116 0.493
0.367 0.385 0.451
0.804 0.117 0.842
0.196 0.883 0.158
0.196 0.617 0.658
0.804 0.383 0.342
```

Magnetic moment   0.0 μB/f.u.
Electronic total energy   -6.97 eV per atom
SG   P2_1/c, No. 14

No. 3
Entry from OQMD via LeMat-Bulk: a relaxed LaDyB crystal (PBE-GGA).

POSCAR file:
```
LaDyB
1.0
0.000 3.282 3.282
3.282 0.000 3.282
3.282 3.282 0.000
B Dy La
1 1 1
Direct
0.000 0.000 0.000
0.250 0.250 0.250
0.750 0.750 0.750
```

Offset from the most stable computed form   0 meV/atom
Magnetic moment   0.4 μB/f.u.
Electronic total energy   -5.25 eV per atom
SG   F-43m, No. 216

No. 4
Entry from OQMD via LeMat-Bulk: a relaxed LaDyB4 crystal (PBE-GGA).

POSCAR file:
```
LaDyB4
1.0
-1.651 2.869 4.099
1.651 -2.869 4.099
1.651 2.869 -4.099
B Dy La
4 1 1
Direct
0.914 0.248 0.666
0.086 0.752 0.334
0.581 0.248 0.334
0.419 0.752 0.666
0.500 0.500 0.000
0.000 0.000 0.000
```

Offset from the most stable computed form   60 meV/atom
Magnetic moment   0.0 μB/f.u.
Electronic total energy   -6.37 eV per atom
SG   Immm, No. 71

No. 5
Entry from OQMD via LeMat-Bulk: a relaxed LaDyB4 crystal (PBE-GGA).

POSCAR file:
```
LaDyB4
1.0
3.288 0.000 0.000
-1.644 2.847 0.000
0.000 0.000 8.222
Dy B La
1 4 1
Direct
0.000 0.000 0.000
0.667 0.333 0.232
0.667 0.333 0.768
0.333 0.667 0.232
0.333 0.667 0.768
0.000 0.000 0.500
```

Offset from the most stable computed form   0 meV/atom
Magnetic moment   0.0 μB/f.u.
Electronic total energy   -6.43 eV per atom
SG   P6/mmm, No. 191

No. 6
Entry from OQMD via LeMat-Bulk: a relaxed LaDy2Ni2B2N3 crystal (PBE-GGA).

POSCAR file:
```
LaDy2Ni2B2N3
1.0
-2.550 -2.271 9.980
-6.585 -3.687 7.369
5.547 0.689 -8.945
Ni B N La Dy
2 2 3 1 2
Direct
0.250 0.750 0.500
0.750 0.250 0.500
0.807 0.807 0.000
0.193 0.193 0.000
0.122 0.122 0.000
0.500 0.500 0.000
0.878 0.878 0.000
0.000 0.000 0.000
0.627 0.627 0.000
0.373 0.373 0.000
```

Magnetic moment   0.0 μB/f.u.
Electronic total energy   -7.47 eV per atom
SG   I4/mmm, No. 139